Entry 1:
DFT (PBE) results for crystalline CaCoPt2 at its relaxed geometry.

Results
symmetry: Cmmm
ΔH_f (0 K): -0.248 eV per atom

Lattice parameters (Å, degrees): 5.769 7.850 2.905 90.00 90.00 90.00
Positions (direct):
Ca: 0.000 0.000 0.000
Ca: 0.500 0.500 0.000
Co: 0.000 0.500 0.000
Co: 0.500 0.000 0.000
Pt: 0.250 0.250 0.500
Pt: 0.250 0.750 0.500
Pt: 0.750 0.250 0.500
Pt: 0.750 0.750 0.500

---

Entry 2:
DFT (PBE) results for crystalline CaCoPt2 at its relaxed geometry.

Results
symmetry: P4mm
ΔH_f (0 K): -0.114 eV per atom

Lattice parameters (Å, degrees): 3.326 3.326 6.480 90.00 90.00 90.00
Positions (direct):
Ca: 0.000 0.000 0.000
Co: 0.500 0.500 0.323
Pt: 0.000 0.000 0.467
Pt: 0.500 0.500 0.724

---

Entry 3:
DFT (PBE) results for crystalline CaCo2Pt at its relaxed geometry.

Results
symmetry: Imm2
ΔH_f (0 K): 0.076 eV per atom

Lattice parameters (Å, degrees): 2.994 4.627 9.166 90.00 90.00 90.00
Positions (direct):
Ca: 0.000 0.000 0.000
Ca: 0.500 0.500 0.500
Co: 0.000 0.000 0.520
Co: 0.000 0.500 0.214
Co: 0.500 0.000 0.714
Co: 0.500 0.500 0.020
Pt: 0.000 0.500 0.784
Pt: 0.500 0.000 0.284